Record 1
VASP calculation (PBE) on an optimized crystal structure of Ce3SbI7.

a b c (Å): 9.153 9.153 7.353
angles (deg): 90.00 90.00 120.00
Fractional coordinates of all 11 atoms:
Ce 0.173 0.346 0.000
Ce 0.173 0.827 0.000
Ce 0.654 0.827 0.000
Sb 0.333 0.667 0.223
I 0.000 0.000 0.748
I 0.010 0.505 0.752
I 0.323 0.162 0.230
I 0.495 0.505 0.752
I 0.495 0.990 0.752
I 0.838 0.162 0.230
I 0.838 0.677 0.230

- N(E_F) (states/eV per cell) = 13.3
- formation energy from raw total energies (eV per atom) = -1.18
- space group = P3m1 (156)

=====

Record 2
VASP calculation (PBE) on an optimized crystal structure of Ce3SbI3.

a b c (Å): 11.014 11.014 11.014
angles (deg): 109.47 109.47 109.47
Fractional coordinates of all 28 atoms:
Ce 0.007 0.014 0.257
Ce 0.007 0.493 0.750
Ce 0.014 0.257 0.007
Ce 0.243 0.257 0.750
Ce 0.243 0.486 0.493
Ce 0.257 0.007 0.014
Ce 0.257 0.750 0.243
Ce 0.486 0.493 0.243
Ce 0.493 0.243 0.486
Ce 0.493 0.750 0.007
Ce 0.750 0.007 0.493
Ce 0.750 0.243 0.257
Sb 0.000 0.250 0.500
Sb 0.250 0.250 0.250
Sb 0.250 0.500 0.000
Sb 0.500 0.000 0.250
I 0.250 0.757 0.743
I 0.250 0.993 0.507
I 0.507 0.250 0.993
I 0.507 0.757 0.514
I 0.514 0.507 0.757
I 0.743 0.250 0.757
I 0.743 0.993 0.986
I 0.757 0.514 0.507
I 0.757 0.743 0.250
I 0.986 0.743 0.993
I 0.993 0.507 0.250
I 0.993 0.986 0.743

- N(E_F) (states/eV per cell) = 85.7
- formation energy from raw total energies (eV per atom) = -1.10
- space group = I4_132 (214)

=====

Record 3
VASP calculation (PBE) on an optimized crystal structure of Ce5Sb4I.

a b c (Å): 16.233 16.233 16.233
angles (deg): 164.05 164.05 22.62
Fractional coordinates of all 10 atoms:
Ce 0.000 0.000 0.000
Ce 0.200 0.200 0.000
Ce 0.398 0.398 0.000
Ce 0.602 0.602 0.000
Ce 0.800 0.800 0.000
Sb 0.099 0.099 0.000
Sb 0.300 0.300 0.000
Sb 0.700 0.700 0.000
Sb 0.901 0.901 0.000
I 0.500 0.500 0.000

- N(E_F) (states/eV per cell) = 35.1
- formation energy from raw total energies (eV per atom) = -1.00
- space group = I4/mmm (139)

=====

Record 4
VASP calculation (PBE) on an optimized crystal structure of Ce6SbI8.

a b c (Å): 12.377 12.377 12.377
angles (deg): 36.04 36.04 36.04
Fractional coordinates of all 15 atoms:
Ce 0.052 0.384 0.719
Ce 0.281 0.948 0.616
Ce 0.384 0.719 0.052
Ce 0.616 0.281 0.948
Ce 0.719 0.052 0.384
Ce 0.948 0.616 0.281
Sb 0.000 0.000 0.000
I 0.110 0.778 0.442
I 0.222 0.558 0.890
I 0.333 0.333 0.333
I 0.442 0.110 0.778
I 0.558 0.890 0.222
I 0.667 0.667 0.667
I 0.778 0.442 0.110
I 0.890 0.222 0.558

- N(E_F) (states/eV per cell) = 40.7
- formation energy from raw total energies (eV per atom) = -1.11
- space group = R-3 (148)

=====

Record 5
VASP calculation (PBE) on an optimized crystal structure of Ce6Sb5I.

a b c (Å): 7.826 7.826 7.818
angles (deg): 99.61 99.61 120.02
Fractional coordinates of all 12 atoms:
Ce 0.072 0.414 0.743
Ce 0.242 0.242 0.253
Ce 0.414 0.072 0.743
Ce 0.586 0.928 0.257
Ce 0.758 0.758 0.747
Ce 0.928 0.586 0.257
Sb 0.000 0.000 0.500
Sb 0.168 0.832 0.000
Sb 0.338 0.662 0.500
Sb 0.662 0.338 0.500
Sb 0.832 0.168 0.000
I 0.500 0.500 0.000

- N(E_F) (states/eV per cell) = 39.6
- formation energy from raw total energies (eV per atom) = -1.03
- space group = C2/m (12)

=====

Record 6
VASP calculation (PBE) on an optimized crystal structure of Ce2ScI6.

a b c (Å): 8.926 8.926 11.525
angles (deg): 114.83 114.83 27.13
Fractional coordinates of all 9 atoms:
Ce 0.178 0.178 0.351
Ce 0.822 0.822 0.649
Sc 0.500 0.500 0.000
I 0.132 0.132 0.046
I 0.175 0.175 0.627
I 0.478 0.478 0.729
I 0.522 0.522 0.271
I 0.825 0.825 0.373
I 0.868 0.868 0.954

- N(E_F) (states/eV per cell) = 14.2
- formation energy from raw total energies (eV per atom) = -1.19
- space group = C2/m (12)

=====

no.,total magnetization (μB/f.u.)
1,2.0
2,3.9
3,1.4
4,7.0
5,6.1
6,4.7